Record 1
HfV2Ir2 after structural relaxation. Source: Alexandria, functional PBE-GGA.

Values from the calculation:
The energy relative to the elements is -2.0 eV per formula unit. As for the density of states at the Fermi level: 1.01 states/eV/atom. Its distance to the lowest polymorph of the same formula is 0 meV/atom. As for the total energy: -9.59 eV per atom.

Cell: 7.437 7.437 2.803 Å, 90.00 90.00 90.00°
Positions (direct):
Hf (0.000, 0.000, 0.000)
Hf (0.500, 0.500, 0.000)
V (0.149, 0.351, 0.000)
V (0.351, 0.851, 0.000)
V (0.649, 0.149, 0.000)
V (0.851, 0.649, 0.000)
Ir (0.149, 0.649, 0.500)
Ir (0.351, 0.149, 0.500)
Ir (0.649, 0.851, 0.500)
Ir (0.851, 0.351, 0.500)

Record 2
HfV4Ir after structural relaxation. Source: Alexandria, functional PBE-GGA.

Values from the calculation:
The energy relative to the elements is -1.1 eV per formula unit. As for the density of states at the Fermi level: 0.95 states/eV/atom. As for the total energy: -9.40 eV per atom.

Cell: 5.009 5.009 5.009 Å, 60.00 60.00 60.00°
Positions (direct):
Hf (0.000, 0.000, 0.000)
V (0.374, 0.374, 0.374)
V (0.374, 0.374, 0.877)
V (0.374, 0.877, 0.374)
V (0.877, 0.374, 0.374)
Ir (0.750, 0.750, 0.750)